Entry 1:
## LaDyTmCd (GGA-PBE)

Data for a geometry-optimized LaDyTmCd structure.

Calculated values
ΔE_f	-134	meV per atom
space-group type	No. 99
electronic total energy	-3.8628	eV/atom
relative energy among the computed polymorphs	0.00	eV/f.u.
total magnetic moment	0.00	μB/cell
density of states at the Fermi level	1.566	states/eV/atom
calculated density	8.1	g/cm³

Cell: 3.671 3.671 8.900 Å, 90.00 90.00 90.00°
Atoms (fractional coordinates):
La 0.000 0.000 0.074
Cd 0.000 0.000 0.567
Dy 0.500 0.500 0.787
Tm 0.500 0.500 0.357

---

Entry 2:
## Al2NiBr (GGA-PBE)

Data for a geometry-optimized Al2NiBr structure.

Calculated values
space-group type	No. 139
energy relative to the elements, uncorrected	377.7	meV/atom
electronic total energy	-3.3571	eV/atom
relative energy among the computed polymorphs	2.60	eV/f.u.
total magnetic moment	0.00	μB/cell
density of states at the Fermi level	0.543	states/eV/atom
calculated density	4.6	g/cm³

Cell: 5.375 5.375 5.375 Å, 137.45 137.45 61.75°
Atoms (fractional coordinates):
Ni 0.750 0.250 0.500
Al 0.500 0.500 0.000
Al 0.000 0.000 0.000
Br 0.250 0.750 0.500

---

Entry 3:
## SrRu2Au (GGA-PBE)

Data for a geometry-optimized SrRu2Au structure.

Calculated values
ΔE_f	605	meV per atom
space-group type	No. 123
electronic total energy	-5.2730	eV/atom
relative energy among the computed polymorphs	2.05	eV/f.u.
total magnetic moment	2.40	μB/cell
density of states at the Fermi level	1.449	states/eV/atom
calculated density	10.5	g/cm³

Cell: 4.591 4.101 4.101 Å, 90.00 90.00 90.00°
Last column: magnetic moment on the atom in μB.
Atoms (fractional coordinates):
Sr 0.500 0.500 0.000  -0.02
Ru 0.000 0.000 0.000  1.15
Ru 0.000 0.500 0.500  1.15
Au 0.500 0.000 0.500  0.03

---

Entry 4:
## DyYPdPb (GGA-PBE)

Data for a geometry-optimized DyYPdPb structure.

Calculated values
ΔE_f	-629	meV per atom
space-group type	No. 216
electronic total energy	-5.6206	eV/atom
total magnetic moment	0.00	μB/cell
density of states at the Fermi level	0.553	states/eV/atom
calculated density	9.4	g/cm³

Cell: 5.214 5.214 5.214 Å, 60.00 60.00 60.00°
Atoms (fractional coordinates):
Y 0.750 0.750 0.750
Dy 0.250 0.250 0.250
Pd 0.000 0.000 0.000
Pb 0.500 0.500 0.500